1.
Computed, not measured: a geometry-optimized La2TbTm2In5 structure at the PBE level of DFT.

The structure belongs to space group P4/mbm (No. 127); the cell edges are 11.028, 11.028 and 4.666 Å and the angles 90.00°, 90.00° and 90.00°. The asymmetric unit holds La at (0.176, 0.324, 0.000), Tb at (0.000, 0.000, 0.000), Tm at (0.123, 0.623, 0.000), In at (0.000, 0.500, 0.500) and In at (0.063, 0.804, 0.500).

The density of states at the Fermi level comes out at 17.45 states/eV per cell. The volume comes out at 28.370 Å³ per atom. The calculation puts the calculated formation energy at -3.6 eV per formula unit.

2.
Computed, not measured: a geometry-optimized LaTbTm2In4 structure at the PBE level of DFT.

The structure belongs to space group R-3m (No. 166, hexagonal axes); the cell edges are 5.3583, 5.3583 and 26.3675 Å and the angles 90.00°, 90.00° and 120.00°. The asymmetric unit holds La at (0.0000, 0.0000, 0.0000), Tb at (0.0000, 0.0000, 0.5000), Tm at (0.0000, 0.0000, 0.2497), In at (0.0000, 0.0000, 0.1271) and In at (0.0000, 0.0000, 0.3773).

The density of states at the Fermi level comes out at 10.29 states/eV per cell. The volume comes out at 27.318 Å³ per atom. The calculation puts the calculated formation energy at -3.6 eV per formula unit.

3.
Computed, not measured: a geometry-optimized LaTbYIn structure at the PBE level of DFT.

The structure belongs to space group F-43m (No. 216); the cell edges are 7.797, 7.797 and 7.797 Å and the angles 90.00°, 90.00° and 90.00°. The asymmetric unit holds La at (0.000, 0.000, 0.000), Tb at (0.250, 0.250, 0.750), Y at (0.250, 0.250, 0.250) and In at (0.000, 0.000, 0.500).

The density of states at the Fermi level comes out at 30.22 states/eV per cell. The volume comes out at 29.629 Å³ per atom. For the excess energy over the best structure of this formula in the dataset, the calculation gives 54 meV per atom. The calculation puts the calculated formation energy at -0.4 eV per formula unit.

4.
Computed, not measured: a geometry-optimized LaTbYIn structure at the PBE level of DFT.

The structure belongs to space group F-43m (No. 216); the cell edges are 7.865, 7.865 and 7.865 Å and the angles 90.00°, 90.00° and 90.00°. The asymmetric unit holds La at (0.000, 0.000, 0.000), Tb at (0.250, 0.250, 0.250), Y at (0.000, 0.000, 0.500) and In at (0.250, 0.250, 0.750).

The density of states at the Fermi level comes out at 21.13 states/eV per cell. The volume comes out at 30.403 Å³ per atom. For the excess energy over the best structure of this formula in the dataset, the calculation gives 0 meV per atom. The calculation puts the calculated formation energy at -0.6 eV per formula unit.

5.
Computed, not measured: a geometry-optimized La2Tb2YIn5 structure at the PBE level of DFT.

The structure belongs to space group P4/mbm (No. 127); the cell edges are 11.102, 11.102 and 4.671 Å and the angles 90.00°, 90.00° and 90.00°. The asymmetric unit holds La at (0.176, 0.324, 0.000), Tb at (0.126, 0.626, 0.000), Y at (0.000, 0.000, 0.000), In at (0.000, 0.500, 0.500) and In at (0.061, 0.807, 0.500).

The density of states at the Fermi level comes out at 17.13 states/eV per cell. The volume comes out at 28.787 Å³ per atom. The calculation puts the calculated formation energy at -3.7 eV per formula unit.

6.
Computed, not measured: a geometry-optimized La2Tb3Y6In structure at the PBE level of DFT.

The structure belongs to space group C2/m (No. 12); the cell edges are 6.153, 10.657 and 11.807 Å and the angles 90.00°, 100.02° and 90.00°. The asymmetric unit holds La at (0.000, 0.166, 0.000), Tb at (0.000, 0.000, 0.500), Tb at (0.000, 0.333, 0.500), Y at (0.243, 0.500, 0.749), Y at (0.246, 0.337, 0.250) and In at (0.000, 0.500, 0.000).

The density of states at the Fermi level comes out at 31.60 states/eV per cell. The volume comes out at 31.766 Å³ per atom. The calculation puts the calculated formation energy at -0.8 eV per formula unit.

7.
Computed, not measured: a geometry-optimized LaTb2Zn2In2 structure at the PBE level of DFT.

The structure belongs to space group R-3m (No. 166, hexagonal axes); the cell edges are 4.7596, 4.7596 and 28.0499 Å and the angles 90.00°, 90.00° and 120.00°. The asymmetric unit holds La at (0.0000, 0.0000, 0.0000), Tb at (0.0000, 0.0000, 0.1299), Zn at (0.0000, 0.0000, 0.4128) and In at (0.0000, 0.0000, 0.2597).

The density of states at the Fermi level comes out at 11.01 states/eV per cell. The volume comes out at 26.205 Å³ per atom. The calculation puts the calculated formation energy at -2.2 eV per formula unit.

8.
Computed, not measured: a geometry-optimized LaTbZn2In2 structure at the PBE level of DFT.

The structure belongs to space group P-3m1 (No. 164); the cell edges are 4.7267, 4.7267 and 7.6264 Å and the angles 90.00°, 90.00° and 120.00°. The asymmetric unit holds La at (0.0000, 0.0000, 0.0000), Tb at (0.0000, 0.0000, 0.5000), Zn at (0.3333, 0.6667, 0.2896) and In at (0.3333, 0.6667, 0.7323).

The density of states at the Fermi level comes out at 3.61 states/eV per cell. The volume comes out at 24.593 Å³ per atom. The calculation puts the calculated formation energy at -2.8 eV per formula unit.

9.
Computed, not measured: a geometry-optimized LaIn2Tc structure at the PBE level of DFT.

The structure belongs to space group C2/m (No. 12); the cell edges are 9.846, 3.802 and 5.465 Å and the angles 90.00°, 108.05° and 90.00°. The asymmetric unit holds La at (0.000, 0.000, 0.000), In at (0.223, 0.000, 0.679) and Tc at (0.000, 0.500, 0.500).

The density of states at the Fermi level comes out at 1.78 states/eV per cell. The volume comes out at 24.315 Å³ per atom. For the excess energy over the best structure of this formula in the dataset, the calculation gives 25 meV per atom. The calculation puts the calculated formation energy at 0.0 eV per formula unit.

10.
Computed, not measured: a geometry-optimized LaIn2Tc structure at the PBE level of DFT.

The structure belongs to space group P4mm (No. 99); the cell edges are 3.564, 3.564 and 7.608 Å and the angles 90.00°, 90.00° and 90.00°. The asymmetric unit holds La at (0.000, 0.000, 0.000), In at (0.000, 0.000, 0.414), In at (0.500, 0.500, 0.662) and Tc at (0.500, 0.500, 0.245).

The density of states at the Fermi level comes out at 3.94 states/eV per cell. The volume comes out at 24.156 Å³ per atom. For the excess energy over the best structure of this formula in the dataset, the calculation gives 82 meV per atom. The calculation puts the calculated formation energy at 0.2 eV per formula unit.

11.
Computed, not measured: a geometry-optimized LaIn2Tc structure at the PBE level of DFT.

The structure belongs to space group I-42d (No. 122); the cell edges are 4.277, 4.277 and 21.882 Å and the angles 90.00°, 90.00° and 90.00°. The asymmetric unit holds La at (0.000, 0.000, 0.000), In at (0.220, 0.250, 0.625) and Tc at (0.000, 0.000, 0.500).

The density of states at the Fermi level comes out at 13.01 states/eV per cell. The volume comes out at 25.012 Å³ per atom. For the excess energy over the best structure of this formula in the dataset, the calculation gives 344 meV per atom. The calculation puts the calculated formation energy at 1.3 eV per formula unit.

12.
Computed, not measured: a geometry-optimized La6In2Tc structure at the PBE level of DFT.

The structure belongs to space group Amm2 (No. 38); the cell edges are 4.092, 15.458 and 8.999 Å and the angles 90.00°, 90.00° and 90.00°. The asymmetric unit holds La at (0.000, 0.000, 0.000), La at (0.000, 0.114, 0.647), La at (0.500, 0.000, 0.366), La at (0.500, 0.199, 0.962), In at (0.000, 0.168, 0.263) and Tc at (0.500, 0.000, 0.793).

The density of states at the Fermi level comes out at 18.71 states/eV per cell. The volume comes out at 31.622 Å³ per atom. For the excess energy over the best structure of this formula in the dataset, the calculation gives 0 meV per atom. The calculation puts the calculated formation energy at -2.3 eV per formula unit.

- Number 12 is which compound?
  La6In2Tc